(1)
Density functional theory data (PBE-GGA) for crystalline ErIn6S8 at its relaxed geometry.

The structure in extended XYZ format:
```
15
Lattice="7.1522 -0.2042 -0.2109 -0.4272 7.1423 -0.2109 -0.4272 -0.4407 7.1318" Properties=species:S:1:pos:R:3 pbc="T T T"
In 5.1017 4.3982 2.4090
In 1.1962 2.0993 4.3011
In 2.0610 4.2582 1.3989
In 4.2369 2.2392 5.3112
In 2.1060 5.1699 4.4734
In 4.1919 1.3276 2.2367
Er 0.0000 0.0000 0.0000
S 2.1344 0.2658 5.8445
S 4.1635 6.2317 0.8656
S 0.5344 4.1822 6.2563
S 5.7635 2.3153 0.4538
S 6.0988 0.7249 4.3814
S 1.6109 1.6619 1.7163
S 4.6870 4.8355 4.9938
S 0.1991 5.7725 2.3287
```

Calculated values
E_form (uncorrected) in kcal/mol of atoms: -11.67
Total DFT energy (no corrections) in eV/atom: -4.11


(2)
Density functional theory data (PBE-GGA) for crystalline ErInS at its relaxed geometry.

The structure in extended XYZ format:
```
6
Lattice="-3.3877 -2.8199 -1.0752 -1.9511 -2.5333 3.2188 -7.5506 4.5743 2.2209" Properties=species:S:1:pos:R:3 pbc="T T T"
S -10.4220 0.2476 3.4704
S -2.4674 -1.0265 0.8941
In -4.9903 1.7533 1.5526
In -7.8991 -2.5322 2.8119
Er -8.1958 1.5400 2.6393
Er -4.6936 -2.3189 1.7252
```

Calculated values
E_form (uncorrected) in kcal/mol of atoms: -24.72
Total DFT energy (no corrections) in eV/atom: -4.88


Which value of E_form (uncorrected) does entry 2 give? -24.72 kcal/mol of atoms